(1)
First-principles (PBEsol) data for crystalline BaGaHg3 at its relaxed geometry, as listed in Alexandria.

Computed properties:
M_tot = 0.000 μB/atom
N(E_F) = 3.172 states/eV per cell
raw total energy = -8.5 eV/f.u.

a b c (Å): 5.2270 5.2270 5.2270
angles (deg): 90.00 90.00 90.00
Sites, in units of the cell vectors:
Ba1 0.0000 0.0000 0.0000
Ga1 0.5000 0.5000 0.5000
Hg1 0.0000 0.5000 0.5000
Hg2 0.5000 0.0000 0.5000
Hg3 0.5000 0.5000 0.0000



(2)
First-principles (PBEsol) data for crystalline Sr2SeS at its relaxed geometry, as listed in Alexandria.

Computed properties:
M_tot = 0.000 μB/atom
formation energy without anion corrections = -205 kJ per mole of atoms
N(E_F) = 0.000 states/eV per cell
offset from the most stable computed form = 0.000 eV/atom

a b c (Å): 7.4635 7.4635 7.4635
angles (deg): 33.52 33.52 33.52
Sites, in units of the cell vectors:
Sr1 0.2472 0.2472 0.2472
Sr2 0.7528 0.7528 0.7528
Se1 0.0000 0.0000 0.0000
S1 0.5000 0.5000 0.5000



(3)
First-principles (PBEsol) data for crystalline TlHgCl at its relaxed geometry, as listed in Alexandria.

Computed properties:
M_tot = 0.000 μB/atom
formation energy without anion corrections = -37 kJ per mole of atoms
offset from the most stable computed form = 0.112 eV/atom

a b c (Å): 5.0826 5.0826 5.0826
angles (deg): 60.00 60.00 60.00
Sites, in units of the cell vectors:
Tl1 0.0000 0.0000 0.0000
Hg1 0.2500 0.2500 0.2500
Cl1 0.5000 0.5000 0.5000